[1]
BeCu2Ag: relaxed, PBE.

Cell and atoms, written as POSCAR:
```
BeCu2Ag
1.0
-1.638 -1.024 3.669
-0.123 -3.973 1.180
2.454 -1.329 3.067
Cu Be Ag
2 1 1
direct
0.250 0.250 0.250
0.000 0.000 0.000
0.750 0.750 0.750
0.500 0.500 0.500
```

Properties
- DFT formation energy (meV/atom) = 143
- volume (A^3/atom) = 12.60

=====

[2]
Pm8PrGe3Te4: relaxed, PBE.

Cell and atoms, written as POSCAR:
```
Pm8PrGe3Te4
1.0
8.796 0.000 0.000
0.000 8.979 0.123
-4.398 -4.395 6.224
Pm Te Ge Pr
8 4 3 1
direct
0.742 0.261 0.020
0.260 0.281 0.521
0.740 0.719 0.479
0.258 0.739 0.980
0.742 0.261 0.483
0.722 0.739 0.980
0.258 0.739 0.517
0.278 0.261 0.020
0.000 0.000 0.500
0.500 0.000 0.500
0.000 0.000 0.000
0.500 0.000 0.000
0.500 0.500 0.000
0.000 0.500 0.500
0.500 0.500 0.500
0.000 0.500 0.000
```

Properties
- total energy (eV per atom) = -5.23
- volume (A^3/atom) = 31.02

=====

[3]
Sc2TiBe9: relaxed, PBE.

Cell and atoms, written as POSCAR:
```
Sc2TiBe9
1.0
4.591 0.000 0.000
2.295 3.976 0.000
2.295 1.325 7.327
Sc Be Ti
2 9 1
direct
0.140 0.140 0.581
0.860 0.860 0.419
0.667 0.667 0.000
0.921 0.423 0.232
0.500 0.500 0.500
0.423 0.423 0.232
0.577 0.079 0.768
0.423 0.921 0.232
0.333 0.333 0.000
0.577 0.577 0.768
0.079 0.577 0.768
0.000 0.000 0.000
```

Properties
- DFT formation energy (meV/atom) = -123
- volume (A^3/atom) = 11.15